A plane-wave DFT calculation with PBE-GGA was carried out for an optimized crystal structure of Ac4Hg7Pb.

Output
- energy of formation (eV per atom) = -0.314
- DFT total energy (eV/atom) = -2.17

```
Ac4Hg7Pb
1.0
5.729 0.000 0.000
2.864 8.662 1.371
2.864 1.422 8.141
Hg Ac Pb
7 4 1
Direct
0.939 0.378 0.745
0.681 0.458 0.179
0.500 0.000 0.000
0.193 0.994 0.621
0.319 0.542 0.821
0.061 0.622 0.255
0.807 0.006 0.379
0.434 0.743 0.388
0.566 0.257 0.612
0.265 0.258 0.212
0.735 0.742 0.788
0.000 0.000 0.000
```